# Rb3DyY3Se8

A relaxed structure of Rb3DyY3Se8 (PBE, Alexandria).

For the density of states at the Fermi level, the calculation gives 9.08 states/eV/f.u. The value obtained for the raw total energy is -5.330 eV per atom. Its total magnetization is 0.000 μB/atom. The energy relative to the elements, uncorrected comes out at -25.18 eV/f.u.

It has space group C2/m (No. 12), with a = 14.450 Å, b = 8.343 Å, c = 9.502 Å, α = 90.00°, β = 120.46° and γ = 90.00°. The inequivalent atoms are Rb at (0.000, 0.000, 0.000), Rb at (0.250, 0.250, 0.000), Dy at (0.000, 0.000, 0.500), Y at (0.000, 0.500, 0.500), Y at (0.250, 0.250, 0.500), Se at (0.018, 0.250, 0.306), Se at (0.231, 0.000, 0.694) and Se at (0.233, 0.500, 0.696).


# TaNbH

A relaxed structure of TaNbH (PBE, Alexandria).

For the density of states at the Fermi level, the calculation gives 2.17 states/eV/f.u. The value obtained for the raw total energy is -8.583 eV per atom. Its total magnetization is 0.000 μB/atom.

It has space group I2_12_12_1 (No. 24), with a = 4.778 Å, b = 4.783 Å, c = 6.872 Å, α = 90.00°, β = 90.00° and γ = 90.00°. The inequivalent atoms are Ta at (0.250, 0.014, 0.000), Nb at (0.239, 0.500, 0.750) and H at (0.000, 0.250, 0.377).


# Sr2LiCd3Bi4

A relaxed structure of Sr2LiCd3Bi4 (PBE, Alexandria).

For the density of states at the Fermi level, the calculation gives 5.80 states/eV/f.u. The value obtained for the raw total energy is -2.711 eV per atom. Its total magnetization is 0.000 μB/atom.

It has space group P-4m2 (No. 115), with a = 4.906 Å, b = 4.906 Å, c = 13.263 Å, α = 90.00°, β = 90.00° and γ = 90.00°. The inequivalent atoms are Sr at (0.000, 0.500, 0.248), Li at (0.500, 0.500, 0.000), Cd at (0.000, 0.000, 0.000), Cd at (0.000, 0.500, 0.645), Bi at (0.000, 0.000, 0.500), Bi at (0.000, 0.500, 0.865) and Bi at (0.500, 0.500, 0.500).


# SmDy2RuO8

A relaxed structure of SmDy2RuO8 (PBE, Alexandria).

For the density of states at the Fermi level, the calculation gives 3.30 states/eV/f.u. The value obtained for the raw total energy is -7.611 eV per atom. Its total magnetization is 0.087 μB/atom. The energy relative to the elements, uncorrected comes out at -28.47 eV/f.u.

It has space group Cmmm (No. 65), with a = 7.160 Å, b = 7.164 Å, c = 6.822 Å, α = 90.00°, β = 90.00° and γ = 90.00°. The inequivalent atoms are Sm at (0.000, 0.000, 0.000), Dy at (0.000, 0.500, 0.249), Ru at (0.000, 0.000, 0.500), O at (0.000, 0.265, 0.500), O at (0.000, 0.313, 0.000) and O at (0.185, 0.000, 0.294).


# TlAs2SeI

A relaxed structure of TlAs2SeI (PBE, Alexandria).

For the density of states at the Fermi level, the calculation gives 5.26 states/eV/f.u. The value obtained for the raw total energy is -2.511 eV per atom. Its total magnetization is 0.165 μB/atom. The energy relative to the elements, uncorrected comes out at 4.15 eV/f.u.

It has space group P4/mmm (No. 123), with a = 5.482 Å, b = 5.482 Å, c = 5.552 Å, α = 90.00°, β = 90.00° and γ = 90.00°. The inequivalent atoms are Tl at (0.000, 0.000, 0.000), As at (0.000, 0.500, 0.500), Se at (0.500, 0.500, 0.000) and I at (0.500, 0.500, 0.500).


# Zr2MnAgN

A relaxed structure of Zr2MnAgN (PBE, Alexandria).

For the density of states at the Fermi level, the calculation gives 3.56 states/eV/f.u. The value obtained for the raw total energy is -8.066 eV per atom. Its total magnetization is 0.119 μB/atom. The energy relative to the elements, uncorrected comes out at -2.89 eV/f.u.

It has space group P4/mmm (No. 123), with a = 4.616 Å, b = 4.616 Å, c = 3.695 Å, α = 90.00°, β = 90.00° and γ = 90.00°. The inequivalent atoms are Zr at (0.000, 0.500, 0.000), Mn at (0.000, 0.000, 0.500), Ag at (0.500, 0.500, 0.500) and N at (0.000, 0.000, 0.000).


# AcBiAuO5

A relaxed structure of AcBiAuO5 (PBE, Alexandria).

For the density of states at the Fermi level, the calculation gives 3.96 states/eV/f.u. The value obtained for the raw total energy is -5.796 eV per atom. Its total magnetization is 0.000 μB/atom. The energy relative to the elements, uncorrected comes out at -10.31 eV/f.u.

It has space group C2/c (No. 15), with a = 7.691 Å, b = 9.630 Å, c = 8.319 Å, α = 90.00°, β = 116.24° and γ = 90.00°. The inequivalent atoms are Ac at (0.000, 0.077, 0.250), Bi at (0.250, 0.250, 0.000), Au at (0.000, 0.489, 0.250), O at (0.000, 0.191, 0.750), O at (0.061, 0.294, 0.113) and O at (0.217, 0.028, 0.067).